Ac2PmSm7, optimized geometry, DFT PBE-GGA; symmetry = Cmmm, No. 65; total energy = -4.15 eV per atom
1.0
6.1349 -8.7600 0.0000
6.1349 8.7600 0.0000
0.0000 0.0000 3.6154
Ac Pm Sm
2 1 7
Direct
0.1772 0.8228 0.0000
0.8228 0.1772 0.0000
0.0000 0.0000 0.5000
0.1444 0.3771 0.0000
0.3397 0.6603 0.5000
0.3771 0.1444 0.0000
0.5000 0.5000 0.0000
0.6229 0.8556 0.0000
0.6603 0.3397 0.5000
0.8556 0.6229 0.0000

Ac4Pm3Sm, optimized geometry, DFT PBE-GGA; symmetry = Pmmn, No. 59; total energy = -4.39 eV per atom
1.0
5.4272 0.0000 0.0000
0.0000 10.8547 0.0000
0.0000 0.0000 10.7125
Ac Pm Sm
8 6 2
Direct
0.2500 0.9999 0.1372
0.2500 0.2500 0.8628
0.2500 0.5001 0.1372
0.2500 0.7500 0.8631
0.7500 0.0001 0.8628
0.7500 0.2500 0.1369
0.7500 0.4999 0.8628
0.7500 0.7500 0.1372
0.2500 0.9999 0.6128
0.2500 0.2500 0.3874
0.2500 0.5001 0.6128
0.7500 0.0001 0.3872
0.7500 0.4999 0.3872
0.7500 0.7500 0.6126
0.2500 0.7500 0.3869
0.7500 0.2500 0.6131

Ac2Pm4Sm3, optimized geometry, DFT PBE-GGA; symmetry = P2_1/c, No. 14; total energy = -4.45 eV per atom
1.0
8.8451 0.0000 0.0000
0.0000 8.8944 0.0000
-3.3137 0.0000 8.4301
Ac Pm Sm
4 8 6
Direct
0.1750 0.1529 0.0489
0.1750 0.3471 0.5489
0.8250 0.6529 0.4511
0.8250 0.8471 0.9511
0.0852 0.5368 0.8689
0.0852 0.9632 0.3689
0.4834 0.1369 0.8552
0.4834 0.3631 0.3552
0.5166 0.6369 0.6448
0.5166 0.8631 0.1448
0.9148 0.0368 0.6311
0.9148 0.4632 0.1311
0.2477 0.6732 0.2525
0.2477 0.8268 0.7525
0.5000 0.0000 0.5000
0.5000 0.5000 0.0000
0.7523 0.1732 0.2475
0.7523 0.3268 0.7475

Ac2Pm7Sm3, optimized geometry, DFT PBE-GGA; symmetry = P2/m, No. 10; total energy = -4.55 eV per atom
1.0
6.5324 0.0000 0.0000
0.0000 3.6623 0.0000
-2.0464 0.0000 18.1046
Ac Pm Sm
2 7 3
Direct
0.0577 0.0000 0.1729
0.9423 0.0000 0.8271
0.0000 0.5000 0.5000
0.2300 0.0000 0.6638
0.2604 0.0000 0.9991
0.2775 0.5000 0.3396
0.7225 0.5000 0.6604
0.7396 0.0000 0.0009
0.7700 0.0000 0.3362
0.4518 0.5000 0.8393
0.5000 0.0000 0.5000
0.5482 0.5000 0.1607

Ac12PmSm6, optimized geometry, DFT PBE-GGA; symmetry = R-3, No. 148; total energy = -4.09 eV per atom
1.0
7.9228 4.5742 3.7398
-7.9228 4.5742 3.7398
0.0000 -9.1484 3.7398
Ac Pm Sm
12 1 6
Direct
0.1262 0.8291 0.2715
0.1709 0.7285 0.8738
0.1906 0.5806 0.4824
0.2715 0.1262 0.8291
0.4194 0.5176 0.8094
0.4824 0.1906 0.5806
0.5176 0.8094 0.4194
0.5806 0.4824 0.1906
0.7285 0.8738 0.1709
0.8094 0.4194 0.5176
0.8291 0.2715 0.1262
0.8738 0.1709 0.7285
0.0000 0.0000 0.0000
0.0782 0.1910 0.4608
0.1910 0.4608 0.0782
0.4608 0.0782 0.1910
0.5392 0.9218 0.8090
0.8090 0.5392 0.9218
0.9218 0.8090 0.5392

Ac2PmSm, optimized geometry, DFT PBE-GGA; symmetry = P4/mmm, No. 123; total energy = -4.39 eV per atom
1.0
5.4513 0.0000 0.0000
0.0000 5.4513 0.0000
0.0000 0.0000 5.2503
Ac Pm Sm
2 1 1
Direct
0.0000 0.5000 0.0000
0.5000 0.0000 0.0000
0.0000 0.0000 0.5000
0.5000 0.5000 0.5000

AcPm4Sm3, optimized geometry, DFT PBE-GGA; symmetry = Pmna, No. 53; total energy = -4.64 eV per atom
1.0
10.3909 0.0000 0.0000
0.0000 7.3754 0.0000
0.0000 0.0000 7.3684
Ac Pm Sm
2 8 6
Direct
0.0000 0.0000 0.0000
0.5000 0.0000 0.5000
0.0000 0.0000 0.5000
0.0000 0.5000 0.0000
0.2500 0.2552 0.2500
0.2500 0.7448 0.7500
0.5000 0.0000 0.0000
0.5000 0.5000 0.5000
0.7500 0.2552 0.2500
0.7500 0.7448 0.7500
0.0000 0.5000 0.5000
0.2500 0.2549 0.7500
0.2500 0.7451 0.2500
0.5000 0.5000 0.0000
0.7500 0.2549 0.7500
0.7500 0.7451 0.2500

AcPm5Sm, optimized geometry, DFT PBE-GGA; symmetry = C2/c, No. 15; total energy = -4.57 eV per atom
1.0
4.4878 -5.0685 0.0000
4.4878 5.0685 0.0000
-3.8777 0.0000 11.1471
Ac Pm Sm
2 10 2
Direct
0.0000 0.5000 0.0000
0.5000 0.0000 0.5000
0.0672 0.2745 0.5346
0.0794 0.9206 0.2500
0.2745 0.0672 0.0346
0.3014 0.4481 0.3323
0.4481 0.3014 0.8323
0.5519 0.6986 0.1677
0.6986 0.5519 0.6677
0.7255 0.9328 0.9654
0.9206 0.0794 0.7500
0.9328 0.7255 0.4654
0.2609 0.7391 0.7500
0.7391 0.2609 0.2500